# 1
Compound: Mg2TiW3S8
Source: Alexandria via LeMat-Bulk
Functional: PBE
Structure: optimized geometry

Calculated values
Formation energy without anion corrections   -0.784 eV per atom
E   -187.88 eV for the cell shown
Total magnetization   0.00 μB/f.u.

a b c (Å): 12.2906 7.2677 7.2431
angles (deg): 90.00 124.13 90.00
Space group Cm (No. 8)
Inequivalent atoms, fractional coordinates:
Mg1 0.0000 0.0000 0.0000 x2
Mg2 0.2446 0.0000 0.7346 x2
Ti1 0.1180 0.5000 0.8566 x2
W1 0.0943 0.5000 0.4021 x2
W2 0.3883 0.2149 0.3870 x4
S1 0.1197 0.2581 0.6450 x4
S2 0.1364 0.2760 0.1636 x4
S3 0.3548 0.5000 0.5833 x2
S4 0.3676 0.0000 0.1249 x2
S5 0.3710 0.5000 0.1643 x2
S6 0.3852 0.0000 0.6267 x2



# 2
Compound: FeRe2Cl
Source: Alexandria via LeMat-Bulk
Functional: PBE
Structure: optimized geometry

Calculated values
Formation energy without anion corrections   0.509 eV per atom
E   -66.34 eV for the cell shown
Energy above the lowest structure with this stoichiometry   205 meV per atom
Total magnetization   3.29 μB/f.u.

a b c (Å): 2.9488 4.7252 9.0498
angles (deg): 90.00 90.00 90.00
Space group Cmm2 (No. 35)
Inequivalent atoms, fractional coordinates:
Fe1 0.0000 0.0000 0.0000 x2
Re1 0.0000 0.0000 0.4761 x2
Re2 0.0000 0.5000 0.2407 x2
Cl1 0.0000 0.5000 0.7982 x2



# 3
Compound: BaMg2ZnNi
Source: Alexandria via LeMat-Bulk
Functional: PBE
Structure: optimized geometry

Calculated values
E   -12.66 eV for the cell shown
Total magnetization   0.00 μB/f.u.
Formation energy   -0.49 eV/f.u.

a b c (Å): 4.9996 4.9996 4.9103
angles (deg): 90.00 90.00 90.00
Space group P4/mmm (No. 123)
Inequivalent atoms, fractional coordinates:
Ba1 0.0000 0.0000 0.0000 x1
Mg1 0.0000 0.5000 0.5000 x2
Zn1 0.5000 0.5000 0.0000 x1
Ni1 0.5000 0.5000 0.5000 x1



# 4
Compound: TiS2Br
Source: Alexandria via LeMat-Bulk
Functional: PBE
Structure: optimized geometry

Calculated values
Formation energy without anion corrections   0.482 eV per atom
E   -47.68 eV for the cell shown
Energy above the lowest structure with this stoichiometry   1290 meV per atom
Total magnetization   0.00 μB/f.u.

a b c (Å): 3.4763 3.4763 26.2173
angles (deg): 90.00 90.00 120.00
Space group R-3m (No. 166, hexagonal axes)
Inequivalent atoms, fractional coordinates:
Ti1 0.0000 0.0000 0.0000 x3
S1 0.0000 0.0000 0.0836 x6
Br1 0.0000 0.0000 0.5000 x3